No. 1
Na3HfI | the Alexandria database | SCAN | single point on PBEsol structure; SG = No. 221
1.0
-3.046 -4.914 -0.065
4.455 -2.729 -2.479
2.076 -1.356 5.224
Na I Hf
3 1 1
Cartesian
-1.523 -2.457 -0.032
2.227 -1.364 -1.239
1.038 -0.678 2.612
0.000 0.000 0.000
1.742 -4.499 1.340

=====

No. 2
Na2HfIO | the Alexandria database | SCAN | single point on PBEsol structure; SG = No. 123
1.0
3.932 0.000 0.000
0.000 6.360 0.000
0.000 0.000 6.360
Na I Hf O
2 1 1 1
Cartesian
0.000 3.180 0.000
0.000 0.000 3.180
1.966 3.180 3.180
0.000 0.000 0.000
1.966 0.000 0.000

=====

No. 3
NaHf2RhI | the Alexandria database | SCAN | single point on PBEsol structure; SG = No. 123
1.0
-4.614 -1.625 0.197
0.372 -1.645 -4.857
1.678 -4.562 1.674
Rh Hf I Na
1 2 1 1
Cartesian
-1.282 -3.916 -1.493
0.839 -2.281 0.837
0.186 -0.823 -2.428
0.000 0.000 0.000
-2.307 -0.813 0.099

=====

No. 4
HfNbTe2I | the Alexandria database | SCAN | single point on PBEsol structure; SG = No. 123
1.0
5.406 0.000 0.000
0.000 5.490 0.000
0.000 0.000 5.490
Te I Hf Nb
2 1 1 1
Cartesian
0.000 0.000 2.745
0.000 2.745 0.000
2.703 0.000 0.000
0.000 0.000 0.000
2.703 2.745 2.745

=====

No. 5
Hf3NiI | the Alexandria database | SCAN | single point on PBEsol structure; SG = No. 221
1.0
-1.239 -2.932 -3.945
-3.752 -2.063 2.712
-3.174 3.583 -1.666
Hf I Ni
3 1 1
Cartesian
-0.619 -1.466 -1.972
-1.876 -1.031 1.356
-1.587 1.792 -0.833
0.000 0.000 0.000
-4.083 -0.706 -1.449

=====

No. 6
HfP2IO | the Alexandria database | SCAN | single point on PBEsol structure; SG = No. 123
1.0
-2.818 -1.549 2.121
1.335 -4.561 -1.558
3.138 -0.405 3.873
I O P Hf
1 1 2 1
Cartesian
0.000 0.000 0.000
-1.409 -0.774 1.061
0.667 -2.281 -0.779
1.569 -0.202 1.937
0.827 -3.257 2.218

=====

No. 7
RbHfIO2 | the Alexandria database | SCAN | single point on PBEsol structure; SG = No. 123
1.0
4.392 0.000 0.000
0.000 4.392 0.000
0.000 0.000 5.901
O I Hf Rb
2 1 1 1
Cartesian
0.000 2.196 0.000
2.196 0.000 0.000
0.000 0.000 2.951
2.196 2.196 2.951
0.000 0.000 0.000

=====

No. 8
HfSbIO2 | the Alexandria database | SCAN | single point on PBEsol structure; SG = No. 123
1.0
4.149 0.000 0.000
0.000 4.149 0.000
0.000 0.000 5.934
O Hf I Sb
2 1 1 1
Cartesian
2.075 0.000 0.000
0.000 2.075 0.000
0.000 0.000 0.000
0.000 0.000 2.967
2.075 2.075 2.967

=====

No. 9
HfSeI2O | the Alexandria database | SCAN | single point on PBEsol structure; SG = No. 123
1.0
3.918 0.000 0.000
0.000 5.719 0.000
0.000 0.000 5.719
I Hf Se O
2 1 1 1
Cartesian
0.000 0.000 2.860
0.000 2.860 0.000
0.000 0.000 0.000
1.959 2.860 2.860
1.959 0.000 0.000

=====

No. 10
HfTe2IO | the Alexandria database | SCAN | single point on PBEsol structure; energy relative to the lowest polymorph listed for this composition = 6.649 kcal/mol of atoms; SG = No. 123
1.0
3.895 0.000 0.000
0.000 5.732 0.000
0.000 0.000 5.732
Te O Hf I
2 1 1 1
Cartesian
0.000 2.866 0.000
0.000 0.000 2.866
1.948 0.000 0.000
1.948 2.866 2.866
0.000 0.000 0.000

=====

No. 11
HfTe2IO | the Alexandria database | SCAN | single point on PBEsol structure; energy relative to the lowest polymorph listed for this composition = 0.000 kcal/mol of atoms; SG = No. 123
1.0
-3.026 -1.271 -4.371
-1.198 -4.841 2.238
-4.472 2.237 2.445
Hf Te O I
1 2 1 1
Cartesian
0.000 0.000 0.000
-0.599 -2.420 1.119
-1.513 -0.636 -2.185
-4.348 -1.937 0.156
-2.236 1.119 1.223

=====

No. 12
HfTiIO2 | the Alexandria database | SCAN | single point on PBEsol structure; SG = No. 123
1.0
-1.787 -1.154 3.302
2.638 -2.879 0.422
3.141 3.296 2.852
O Ti I Hf
2 1 1 1
Cartesian
1.319 -1.440 0.211
-0.894 -0.577 1.651
0.000 0.000 0.000
1.571 1.648 1.426
1.996 -0.368 3.288

=====

In the order shown, the computed mass density values come out to 3216 3835 7825 6659 9195 6607 6169 7463 6831 7481 5758 7716 kg/m3.
In the order shown, the computed energy relative to the elements, uncorrected values come out to 0.628 -0.863 1.450 0.503 1.731 0.691 0.954 -1.269 -0.889 0.544 0.256 -0.898 eV/atom.